Record 1
Entry from Alexandria via LeMat-Bulk: a relaxed As5C crystal (PBEsol).

## Properties
energy above the lowest structure with this stoichiometry = 0.0 meV per atom
D(E_F) = 2.49 states/eV/cell
space group = P-62m, No. 189
formation energy from the elements = 0.802 eV per atom

Cell: 6.057 6.057 3.235 Å, 90.00 90.00 120.00°
Sites, in units of the cell vectors:
As 0.000 0.275 0.000
As 0.275 0.000 0.000
As 0.333 0.667 0.500
As 0.667 0.333 0.500
As 0.725 0.725 0.000
C 0.000 0.000 0.500

=====

Record 2
Entry from Alexandria via LeMat-Bulk: a relaxed CaAl3Rh crystal (PBEsol).

## Properties
D(E_F) = 2.33 states/eV/cell
space group = Pm-3m, No. 221
formation energy from the elements = -0.385 eV per atom

Cell: 4.686 4.686 4.686 Å, 90.00 90.00 90.00°
Sites, in units of the cell vectors:
Ca 0.000 0.000 0.000
Al 0.000 0.500 0.500
Al 0.500 0.000 0.500
Al 0.500 0.500 0.000
Rh 0.500 0.500 0.500

=====

Record 3
Entry from Alexandria via LeMat-Bulk: a relaxed KTl3 crystal (PBEsol).

## Properties
D(E_F) = 2.12 states/eV/cell
space group = Imm2, No. 44
formation energy from the elements = -0.020 eV per atom

Cell: 6.687 6.687 6.687 Å, 150.73 64.83 123.57°
Sites, in units of the cell vectors:
K 0.000 0.000 0.000
Tl 0.100 0.340 0.760
Tl 0.516 0.016 0.500
Tl 0.580 0.340 0.240

=====

Record 4
Entry from Alexandria via LeMat-Bulk: a relaxed LaMoIN2 crystal (PBEsol).

## Properties
D(E_F) = 2.31 states/eV/cell
E_form (uncorrected) = 1255 meV per atom
space group = P4/mmm, No. 123

Cell: 4.240 4.240 6.522 Å, 90.00 90.00 90.00°
Sites, in units of the cell vectors:
La 0.000 0.000 0.000
Mo 0.500 0.500 0.500
I 0.000 0.000 0.500
N 0.000 0.500 0.000
N 0.500 0.000 0.000

=====

Record 5
Entry from Alexandria via LeMat-Bulk: a relaxed AgCl2 crystal (PBEsol).

## Properties
D(E_F) = 7.93 states/eV/cell
E_form (uncorrected) = 32 meV per atom
space group = P6_3/mmc, No. 194

Cell: 4.299 4.299 7.997 Å, 90.00 90.00 120.00°
Sites, in units of the cell vectors:
Ag 0.333 0.667 0.250
Ag 0.667 0.333 0.750
Cl 0.000 0.000 0.000
Cl 0.000 0.000 0.500
Cl 0.333 0.667 0.750
Cl 0.667 0.333 0.250

=====

Record 6
Entry from Alexandria via LeMat-Bulk: a relaxed LiReRh3 crystal (PBEsol).

## Properties
D(E_F) = 3.29 states/eV/cell
space group = Pm-3m, No. 221
formation energy from the elements = 1.067 eV per atom

Cell: 4.656 4.656 4.656 Å, 90.00 90.00 90.00°
Sites, in units of the cell vectors:
Li 0.000 0.000 0.000
Re 0.500 0.500 0.500
Rh 0.000 0.500 0.500
Rh 0.500 0.000 0.500
Rh 0.500 0.500 0.000

=====

Per-record spin magnetization, μB/f.u.: 0.00, 0.00, 0.00, 4.57, 1.05, 0.00